[1]
The following is a DFT calculation (PBE-GGA) of crystalline Y3HfZn4 at its relaxed geometry.

Properties
E_form = -0.293 eV/atom
Volume = 21.59 A^3/atom

Cell and atoms, written as CIF:
```
data_Y3HfZn4
_chemical_formula_sum 'Y3 Hf1 Zn4'
_cell_length_a 3.499
_cell_length_b 3.499
_cell_length_c 14.104
_cell_angle_alpha 90.00
_cell_angle_beta 90.00
_cell_angle_gamma 90.00
_space_group_name_H-M_alt 'P 1'
_space_group_IT_number 1
loop_
_space_group_symop_operation_xyz
'x,y,z'
loop_
_atom_site_label
_atom_site_type_symbol
_atom_site_fract_x
_atom_site_fract_y
_atom_site_fract_z
_atom_site_occupancy
Y1 Y 0.500 0.500 0.240 1
Y2 Y 0.500 0.500 0.760 1
Y3 Y 0.500 0.500 0.500 1
Zn1 Zn 0.000 0.000 0.630 1
Zn2 Zn 0.000 0.000 0.895 1
Zn3 Zn 0.000 0.000 0.105 1
Zn4 Zn 0.000 0.000 0.370 1
Hf1 Hf 0.500 0.500 0.000 1
```

[2]
The following is a DFT calculation (PBE-GGA) of crystalline Y2HfZn6 at its relaxed geometry.

Properties
E_form = -0.313 eV/atom
Volume = 19.03 A^3/atom

Cell and atoms, written as CIF:
```
data_Y2HfZn6
_chemical_formula_sum 'Y2 Hf1 Zn6'
_cell_length_a 3.355
_cell_length_b 7.678
_cell_length_c 7.678
_cell_angle_alpha 120.00
_cell_angle_beta 90.00
_cell_angle_gamma 90.00
_space_group_name_H-M_alt 'P 1'
_space_group_IT_number 1
loop_
_space_group_symop_operation_xyz
'x,y,z'
loop_
_atom_site_label
_atom_site_type_symbol
_atom_site_fract_x
_atom_site_fract_y
_atom_site_fract_z
_atom_site_occupancy
Zn1 Zn 0.500 0.326 0.326 1
Zn2 Zn 0.500 0.326 0.000 1
Zn3 Zn 0.500 0.674 0.674 1
Zn4 Zn 0.500 0.000 0.326 1
Zn5 Zn 0.500 0.000 0.674 1
Zn6 Zn 0.500 0.674 0.000 1
Y1 Y 0.000 0.333 0.667 1
Y2 Y 0.000 0.667 0.333 1
Hf1 Hf 0.000 0.000 0.000 1
```

[3]
The following is a DFT calculation (PBE-GGA) of crystalline YHfZn at its relaxed geometry.

Properties
E_form = -0.116 eV/atom
Volume = 22.48 A^3/atom

Cell and atoms, written as CIF:
```
data_YHfZn
_chemical_formula_sum 'Y1 Hf1 Zn1'
_cell_length_a 3.333
_cell_length_b 3.333
_cell_length_c 6.513
_cell_angle_alpha 104.82
_cell_angle_beta 104.82
_cell_angle_gamma 90.00
_space_group_name_H-M_alt 'P 1'
_space_group_IT_number 1
loop_
_space_group_symop_operation_xyz
'x,y,z'
loop_
_atom_site_label
_atom_site_type_symbol
_atom_site_fract_x
_atom_site_fract_y
_atom_site_fract_z
_atom_site_occupancy
Y1 Y 0.005 0.005 0.011 1
Zn1 Zn 0.678 0.678 0.357 1
Hf1 Hf 0.316 0.316 0.632 1
```

[4]
The following is a DFT calculation (PBE-GGA) of crystalline Y2Hf2Zn at its relaxed geometry.

Properties
E_form = 0.180 eV/atom
Volume = 25.50 A^3/atom

Cell and atoms, written as CIF:
```
data_Y2Hf2Zn
_chemical_formula_sum 'Y4 Hf4 Zn2'
_cell_length_a 7.232
_cell_length_b 7.232
_cell_length_c 4.876
_cell_angle_alpha 90.00
_cell_angle_beta 90.00
_cell_angle_gamma 90.00
_space_group_name_H-M_alt 'P 1'
_space_group_IT_number 1
loop_
_space_group_symop_operation_xyz
'x,y,z'
loop_
_atom_site_label
_atom_site_type_symbol
_atom_site_fract_x
_atom_site_fract_y
_atom_site_fract_z
_atom_site_occupancy
Hf1 Hf 0.359 0.859 0.000 1
Hf2 Hf 0.641 0.141 0.000 1
Hf3 Hf 0.859 0.641 0.000 1
Hf4 Hf 0.141 0.359 0.000 1
Y1 Y 0.339 0.161 0.500 1
Y2 Y 0.161 0.661 0.500 1
Y3 Y 0.839 0.339 0.500 1
Y4 Y 0.661 0.839 0.500 1
Zn1 Zn 0.000 0.000 0.000 1
Zn2 Zn 0.500 0.500 0.000 1
```

[5]
The following is a DFT calculation (PBE-GGA) of crystalline YHf2Zn2 at its relaxed geometry.

Properties
E_form = -0.080 eV/atom
Energy relative to the lowest polymorph listed for this composition = 0.00 eV per formula unit
Volume = 21.04 A^3/atom

Cell and atoms, written as CIF:
```
data_YHf2Zn2
_chemical_formula_sum 'Y2 Hf4 Zn4'
_cell_length_a 8.025
_cell_length_b 8.025
_cell_length_c 3.266
_cell_angle_alpha 90.00
_cell_angle_beta 90.00
_cell_angle_gamma 90.00
_space_group_name_H-M_alt 'P 1'
_space_group_IT_number 1
loop_
_space_group_symop_operation_xyz
'x,y,z'
loop_
_atom_site_label
_atom_site_type_symbol
_atom_site_fract_x
_atom_site_fract_y
_atom_site_fract_z
_atom_site_occupancy
Zn1 Zn 0.850 0.650 0.000 1
Zn2 Zn 0.350 0.850 0.000 1
Zn3 Zn 0.650 0.150 0.000 1
Zn4 Zn 0.150 0.350 0.000 1
Hf1 Hf 0.150 0.650 0.500 1
Hf2 Hf 0.850 0.350 0.500 1
Hf3 Hf 0.650 0.850 0.500 1
Hf4 Hf 0.350 0.150 0.500 1
Y1 Y 0.500 0.500 0.000 1
Y2 Y 0.000 0.000 0.000 1
```

[6]
The following is a DFT calculation (PBE-GGA) of crystalline YHf2Zn at its relaxed geometry.

Properties
E_form = 0.305 eV/atom
Volume = 23.28 A^3/atom

Cell and atoms, written as CIF:
```
data_YHf2Zn
_chemical_formula_sum 'Y1 Hf2 Zn1'
_cell_length_a 3.150
_cell_length_b 3.150
_cell_length_c 10.983
_cell_angle_alpha 81.75
_cell_angle_beta 81.75
_cell_angle_gamma 60.00
_space_group_name_H-M_alt 'P 1'
_space_group_IT_number 1
loop_
_space_group_symop_operation_xyz
'x,y,z'
loop_
_atom_site_label
_atom_site_type_symbol
_atom_site_fract_x
_atom_site_fract_y
_atom_site_fract_z
_atom_site_occupancy
Hf1 Hf 0.099 0.099 0.704 1
Hf2 Hf 0.901 0.901 0.296 1
Y1 Y 0.000 0.000 0.000 1
Zn1 Zn 0.500 0.500 0.500 1
```

[7]
The following is a DFT calculation (PBE-GGA) of crystalline YHf3Zn at its relaxed geometry.

Properties
E_form = 0.576 eV/atom
Energy relative to the lowest polymorph listed for this composition = 0.00 eV per formula unit
Volume = 25.68 A^3/atom

Cell and atoms, written as CIF:
```
data_YHf3Zn
_chemical_formula_sum 'Y1 Hf3 Zn1'
_cell_length_a 5.045
_cell_length_b 5.045
_cell_length_c 5.045
_cell_angle_alpha 90.00
_cell_angle_beta 90.00
_cell_angle_gamma 90.00
_space_group_name_H-M_alt 'P 1'
_space_group_IT_number 1
loop_
_space_group_symop_operation_xyz
'x,y,z'
loop_
_atom_site_label
_atom_site_type_symbol
_atom_site_fract_x
_atom_site_fract_y
_atom_site_fract_z
_atom_site_occupancy
Zn1 Zn 0.000 0.000 0.000 1
Y1 Y 0.500 0.500 0.500 1
Hf1 Hf 0.000 0.500 0.000 1
Hf2 Hf 0.000 0.000 0.500 1
Hf3 Hf 0.500 0.000 0.000 1
```

[8]
The following is a DFT calculation (PBE-GGA) of crystalline YHf2Zn2 at its relaxed geometry.

Properties
E_form = 0.209 eV/atom
Energy relative to the lowest polymorph listed for this composition = 1.44 eV per formula unit
Volume = 22.95 A^3/atom

Cell and atoms, written as CIF:
```
data_YHf2Zn2
_chemical_formula_sum 'Y1 Hf2 Zn2'
_cell_length_a 4.369
_cell_length_b 4.369
_cell_length_c 6.759
_cell_angle_alpha 71.15
_cell_angle_beta 71.15
_cell_angle_gamma 90.00
_space_group_name_H-M_alt 'P 1'
_space_group_IT_number 1
loop_
_space_group_symop_operation_xyz
'x,y,z'
loop_
_atom_site_label
_atom_site_type_symbol
_atom_site_fract_x
_atom_site_fract_y
_atom_site_fract_z
_atom_site_occupancy
Hf1 Hf 0.380 0.380 0.240 1
Hf2 Hf 0.620 0.620 0.760 1
Zn1 Zn 0.250 0.750 0.500 1
Zn2 Zn 0.750 0.250 0.500 1
Y1 Y 0.000 0.000 0.000 1
```